No. 1
Compound: PuMgFeCo
Source: Alexandria
Functional: PBE-GGA
Structure: relaxed

## Properties
Space group: No. 216
Energy relative to the elements, kJ/mol of formula units: 31.8
Total energy, eV/atom: -7.791

a = 4.506 Å, b = 4.506 Å, c = 4.506 Å
α = 60.00°, β = 60.00°, γ = 60.00°
Sites, in units of the cell vectors:
Pu 0.000 0.000 0.000
Mg 0.500 0.500 0.500
Fe 0.750 0.750 0.750
Co 0.250 0.250 0.250

No. 2
Compound: BaNa2Np3S8
Source: Alexandria
Functional: PBE-GGA
Structure: relaxed

## Properties
Space group: No. 160
Total energy, eV/atom: -6.818
Uncorrected formation energy, meV/atom: -1361

a = 8.393 Å, b = 8.393 Å, c = 8.393 Å
α = 58.96°, β = 58.96°, γ = 58.96°
Sites, in units of the cell vectors:
Ba 0.000 0.000 0.000
Na 0.384 0.384 0.384
Na 0.760 0.760 0.760
Np 0.381 0.381 0.875
Np 0.381 0.875 0.381
Np 0.875 0.381 0.381
S 0.141 0.141 0.565
S 0.141 0.565 0.141
S 0.147 0.147 0.147
S 0.174 0.632 0.632
S 0.565 0.141 0.141
S 0.615 0.615 0.615
S 0.632 0.174 0.632
S 0.632 0.632 0.174

No. 3
Compound: CoAg2W
Source: Alexandria
Functional: PBE-GGA
Structure: relaxed

## Properties
Space group: No. 12
Energy relative to the elements, kJ/mol of formula units: 228.7
Offset from the most stable computed form, meV/atom: 263.8
Total energy, eV/atom: -5.848

a = 5.043 Å, b = 5.043 Å, c = 4.631 Å
α = 100.03°, β = 100.03°, γ = 31.76°
Sites, in units of the cell vectors:
Co 0.000 0.000 0.000
Ag 0.256 0.256 0.754
Ag 0.744 0.744 0.246
W 0.500 0.500 0.500

No. 4
Compound: PrSmEu2
Source: Alexandria
Functional: PBE-GGA
Structure: relaxed

## Properties
Space group: No. 225
Energy relative to the elements, kJ/mol of formula units: 50.5
Offset from the most stable computed form, meV/atom: 56.5
Total energy, eV/atom: -7.381

a = 5.966 Å, b = 5.966 Å, c = 5.966 Å
α = 60.00°, β = 60.00°, γ = 60.00°
Sites, in units of the cell vectors:
Pr 0.000 0.000 0.000
Sm 0.500 0.500 0.500
Eu 0.250 0.250 0.250
Eu 0.750 0.750 0.750